Compound: BaGa4Se7
Source: Alexandria
Functional: PBE
Structure: relaxed

Cell lengths 6.6638, 7.7401, 15.0516 Å; angles 59.26, 90.00, 90.00 degrees
Atoms (fractional coordinates):
Ga (0.1454, 0.4915, 0.7738)
Ga (0.6246, 0.2344, 0.7786)
Ga (0.0245, 0.9983, 0.4978)
Ga (0.3754, 0.2344, 0.2786)
Ga (0.8470, 0.0119, 0.2566)
Ga (0.1530, 0.0119, 0.7566)
Ga (0.8546, 0.4915, 0.2738)
Ga (0.9755, 0.9983, 0.9978)
Se (0.9659, 0.8210, 0.6907)
Se (0.6226, 0.9943, 0.9620)
Se (0.8621, 0.7862, 0.4413)
Se (0.0341, 0.8210, 0.1907)
Se (0.1379, 0.7862, 0.9413)
Se (0.0856, 0.3296, 0.9566)
Se (0.5057, 0.5644, 0.2295)
Se (0.0343, 0.3300, 0.1919)
Se (0.4775, 0.1066, 0.6758)
Se (0.3774, 0.9943, 0.4620)
Se (0.9657, 0.3300, 0.6919)
Se (0.9144, 0.3296, 0.4566)
Se (0.5225, 0.1066, 0.1758)
Se (0.4943, 0.5644, 0.7295)
Ba (0.6383, 0.5640, 0.9533)
Ba (0.3617, 0.5640, 0.4533)

Excess energy over the best structure of this formula in the dataset in kJ/mol of atoms: 0.0
Formation energy from raw total energies in kJ per mole of atoms: -85
Total energy in eV per formula unit: -49.0

***

Compound: Ba2GaSe
Source: Alexandria
Functional: PBE
Structure: relaxed

Cell lengths 8.7123, 8.7123, 7.6191 Å; angles 55.13, 55.13, 90.00 degrees
Atoms (fractional coordinates):
Ba (0.1015, 0.6250, 0.2500)
Ba (0.3750, 0.3515, 0.7500)
Ba (0.6485, 0.1250, 0.2500)
Ba (0.8750, 0.8985, 0.7500)
Ga (0.5000, 0.5000, 0.0000)
Ga (0.2500, 0.7500, 0.5000)
Se (0.7500, 0.2500, 0.5000)
Se (0.0000, 0.0000, 0.0000)

Excess energy over the best structure of this formula in the dataset in kJ/mol of atoms: 37.4
Formation energy from raw total energies in kJ per mole of atoms: -76
Total energy in eV per formula unit: -13.5

***

- Look up the excess energy over the best structure of this formula in the dataset of the second one.
  37.4 kJ/mol of atoms